# CaTl4Ni4O12 | Alexandria | PBE+U | relaxed
data_CaTl4Ni4O12
_chemical_formula_sum 'Ca1 Tl4 Ni4 O12'
_cell_length_a 5.394
_cell_length_b 6.531
_cell_length_c 7.902
_cell_angle_alpha 85.15
_cell_angle_beta 90.24
_cell_angle_gamma 87.49
_space_group_name_H-M_alt 'P 1'
_space_group_IT_number 1
_space_group_name_Hall 'P 1'
loop_
_atom_site_label
_atom_site_type_symbol
_atom_site_fract_x
_atom_site_fract_y
_atom_site_fract_z
Ni1 Ni 0.487 0.936 0.488
Ni2 Ni 0.535 0.869 0.984
Ni3 Ni 0.009 0.493 0.971
Ni4 Ni 0.989 0.759 0.643
Tl1 Tl 0.500 0.535 0.746
Tl2 Tl 0.500 0.307 0.178
Tl3 Tl 0.024 0.837 0.243
Tl4 Tl 0.020 0.091 0.822
O1 O 0.895 0.447 0.746
O2 O 0.295 0.314 0.925
O3 O 0.140 0.049 0.566
O4 O 0.117 0.493 0.192
O5 O 0.380 0.950 0.205
O6 O 0.802 0.059 0.052
O7 O 0.183 0.750 0.871
O8 O 0.267 0.646 0.533
O9 O 0.686 0.582 0.030
O10 O 0.788 0.734 0.445
O11 O 0.616 0.224 0.430
O12 O 0.678 0.876 0.733
Ca1 Ca 0.987 0.371 0.457
# Magnetization   0.2844 μB per atom
# Energy   -4.741 eV per atom
# Energy relative to the lowest polymorph listed for this composition   0.00 eV/f.u.
# DOS(E_F)   0.3 states/eV per cell